PuPaInTc, relaxed, DFT PBE-GGA; D(E_F) = 1.35 states/eV per atom; mass density = 13.7 g cm⁻³; total magnetic moment = 5.13 μB per formula unit; excess energy over the best structure of this formula in the dataset = 0.000 eV/atom; space group = F-43m (216)
1.0
6.928 0.000 0.000
0.000 6.928 0.000
0.000 0.000 6.928
Pu Pa In Tc
4 4 4 4
direct
0.000 0.000 0.000
0.000 0.500 0.500
0.500 0.000 0.500
0.500 0.500 0.000
0.250 0.250 0.750
0.250 0.750 0.250
0.750 0.250 0.250
0.750 0.750 0.750
0.250 0.250 0.250
0.250 0.750 0.750
0.750 0.250 0.750
0.750 0.750 0.250
0.000 0.000 0.500
0.000 0.500 0.000
0.500 0.000 0.000
0.500 0.500 0.500